# Li3Ho

A geometry-optimized Li3Ho structure (PBE, the Alexandria database).

Cell: 6.5285 6.5285 5.0277 Å, 90.00 90.00 120.00°
Last column: nearest neighbours and their distance in Å.
Sites, in units of the cell vectors:
Li1 0.1526 0.3051 0.2500  6 Li 2.99-3.05, 4 Ho 3.24-3.27
Li2 0.1526 0.8474 0.2500  6 Li 2.99-3.05, 4 Ho 3.24-3.27
Li3 0.3051 0.1526 0.7500  6 Li 2.99-3.05, 4 Ho 3.24-3.27
Li4 0.6949 0.8474 0.2500  6 Li 2.99-3.05, 4 Ho 3.24-3.27
Li5 0.8474 0.1526 0.7500  6 Li 2.99-3.05, 4 Ho 3.24-3.27
Li6 0.8474 0.6949 0.7500  6 Li 2.99-3.05, 4 Ho 3.24-3.27
Ho1 0.3333 0.6667 0.7500  12 Li 3.24-3.27
Ho2 0.6667 0.3333 0.2500  12 Li 3.24-3.27

## Properties
Space group ... P6_3/mmc, No. 194
Formation energy ... 0.22 eV/atom